# 1
A plane-wave DFT calculation with PBE was carried out for an optimized crystal structure of Ta2AgRu.

The structure in extended XYZ format:
```
4
Lattice="4.9249 -0.4520 0.5980 3.7780 3.1916 0.5980 1.4292 0.4499 4.0289" Properties=species:S:1:pos:R:3 pbc="T T T"
Ta 5.1514 1.6216 2.5794
Ta 8.6175 2.7127 1.2291
Ru 2.5330 0.7974 1.3062
Ag 7.5991 2.3921 3.9187
```

## Properties
- Relative energy among the computed polymorphs: 0.048 eV per atom
- Space group: Immm (71)
- Energy relative to the elements: 0.380 eV per formula unit

***

# 2
A plane-wave DFT calculation with PBE was carried out for an optimized crystal structure of BaAg3Sn.

The structure in extended XYZ format:
```
5
Lattice="-1.9523 3.0379 3.5569 -3.2851 -3.6585 1.2302 0.8156 -2.1998 5.8611" Properties=species:S:1:pos:R:3 pbc="T T T"
Ag -3.2615 -0.1131 4.3956
Ag -1.4364 -2.1034 3.4847
Ag -4.0526 -2.4145 5.8754
Sn -2.3275 -4.3502 4.8627
Ba -0.7318 -1.5112 6.9625
```

## Properties
- Relative energy among the computed polymorphs: 0.000 eV per atom
- Space group: Cm (8)
- Energy relative to the elements: -1.305 eV per formula unit

***

# 3
A plane-wave DFT calculation with PBE was carried out for an optimized crystal structure of NaAu2Br6.

The structure in extended XYZ format:
```
18
Lattice="-3.9757 0.5758 5.8193 -11.3914 -0.5306 -0.8016 -3.5234 -9.4098 5.4524" Properties=species:S:1:pos:R:3 pbc="T T T"
Br -11.7875 -5.9723 5.9269
Br -9.5680 -6.5216 3.2013
Br -2.2594 -2.6764 3.1311
Br -8.1286 -9.2525 6.7609
Br -3.4824 -6.3718 5.0056
Br -7.1030 -3.3923 4.5432
Br -6.4844 0.1361 4.2626
Br -9.3225 -2.8430 7.2687
Br -15.4081 -2.9928 5.4644
Br -16.6310 -6.6882 7.3390
Br -10.7619 -0.1121 3.7092
Br -12.4061 -9.5007 6.2075
Au -14.2504 -6.4109 6.5924
Au -4.6401 -2.9537 3.8776
Au -7.8501 -1.2865 5.8158
Au -11.0404 -8.0781 4.6542
Na -5.7954 -7.8235 5.8913
Na -13.0951 -1.5411 4.5788
```

## Properties
- Relative energy among the computed polymorphs: 0.000 eV per atom
- Space group: C2/c (15)

***

# 4
A plane-wave DFT calculation with PBE was carried out for an optimized crystal structure of Mn2Ni9Ir.

The structure in extended XYZ format:
```
12
Lattice="3.5899 0.0000 0.0000 0.0000 3.5899 0.0000 0.0000 0.0000 10.7893" Properties=species:S:1:pos:R:3 pbc="T T T"
Ir 0.0000 0.0000 0.0000
Ni 1.7950 1.7950 0.0000
Ni 0.0000 1.7950 1.8186
Ni 1.7950 0.0000 8.9707
Ni 1.7950 0.0000 5.3946
Ni 0.0000 1.7950 8.9707
Ni 1.7950 1.7950 3.6079
Ni 0.0000 1.7950 5.3946
Ni 1.7950 0.0000 1.8186
Ni 1.7950 1.7950 7.1814
Mn 0.0000 0.0000 7.1513
Mn 0.0000 0.0000 3.6379
```

## Properties
- Space group: P4/mmm (123)
- Energy relative to the elements: -0.589 eV per formula unit

***

Which formula does entry 4 have? Mn2Ni9Ir